! PBE Sm2Ho2BBr5, relaxed; values from VASP
! Crystal system: monoclinic
! Final energy in eV/atom: -4.77
! Space group: C2/m (12)
&SYSTEM
  ibrav = 0, nat = 10, ntyp = 4
/
ATOMIC_SPECIES
Br 79.90 Br.upf
Sm 150.36 Sm.upf
B 10.81 B.upf
Ho 164.93 Ho.upf
CELL_PARAMETERS angstrom
-3.5847 -7.3348 4.3647
-0.5546 -6.3827 6.6823
-4.3143 6.2295 3.0816
ATOMIC_POSITIONS angstrom
Br -4.2268 -3.7440 7.0643
Br -4.2169 -10.2914 9.7411
Br -6.2814 -7.4319 11.2655
Br -2.1722 -0.0561 2.8631
Br -4.2367 2.8034 4.3875
Sm -5.4512 0.8804 6.7654
Sm -3.0024 -8.3684 7.3632
B -2.0696 -6.8588 5.5235
Ho -3.4249 4.9372 2.4496
Ho -5.0287 -12.4252 11.6790